[1]
The following is a SCAN calculation of a crystal of LiZr2Al2 relaxed with PBEsol, from Alexandria via LeMat-Bulk.

The structure in CIF format:
```
data_LiZr2Al2
_symmetry_space_group_name_H-M 'P 4/m b m'
_symmetry_Int_Tables_number 127
_symmetry_space_group_name_Hall '-P 4 2ab'
_cell_length_a 8.4638
_cell_length_b 8.4638
_cell_length_c 2.9317
_cell_angle_alpha 90.00
_cell_angle_beta 90.00
_cell_angle_gamma 90.00
loop_
_atom_site_label
_atom_site_fract_x
_atom_site_fract_y
_atom_site_fract_z
_atom_site_occupancy
Li1 0.0000 0.0000 0.0000 1
Zr1 0.1258 0.3742 0.0000 1
Al1 0.1707 0.6707 0.5000 1
```

Summary:
Calculated total energy   -15.926 eV per atom
ΔH_f (0 K)   -0.07 eV/atom

***

[2]
The following is a SCAN calculation of a crystal of SbWCl2 relaxed with PBEsol, from Alexandria via LeMat-Bulk.

The structure in CIF format:
```
data_SbWCl2
_symmetry_space_group_name_H-M 'P 4 m m'
_symmetry_Int_Tables_number 99
_symmetry_space_group_name_Hall 'P 4 -2'
_cell_length_a 3.0737
_cell_length_b 3.0737
_cell_length_c 8.2244
_cell_angle_alpha 90.00
_cell_angle_beta 90.00
_cell_angle_gamma 90.00
loop_
_atom_site_label
_atom_site_fract_x
_atom_site_fract_y
_atom_site_fract_z
_atom_site_occupancy
Sb1 0.0000 0.0000 0.0000 1
W1 0.5000 0.5000 0.2405 1
Cl1 0.0000 0.0000 0.4204 1
Cl2 0.5000 0.5000 0.7508 1
```

Summary:
Formation energy from raw total energies   1.27 eV/f.u.
Calculated total energy   -30.408 eV per atom
Polymorph energy (0 for the lowest one)   0.117 eV/atom

***

[3]
The following is a SCAN calculation of a crystal of CoOsRh2 relaxed with PBEsol, from Alexandria via LeMat-Bulk.

The structure in CIF format:
```
data_CoOsRh2
_symmetry_space_group_name_H-M 'R -3 m'
_symmetry_Int_Tables_number 166
_symmetry_space_group_name_Hall '-R 3 2"'
_cell_length_a 2.6552
_cell_length_b 2.6552
_cell_length_c 25.4971
_cell_angle_alpha 90.00
_cell_angle_beta 90.00
_cell_angle_gamma 120.00
loop_
_atom_site_label
_atom_site_fract_x
_atom_site_fract_y
_atom_site_fract_z
_atom_site_occupancy
Co1 0.0000 0.0000 0.0000 1
Os1 0.0000 0.0000 0.5000 1
Rh1 0.0000 0.0000 0.2524 1
```

Summary:
Calculated total energy   -39.075 eV per atom
Polymorph energy (0 for the lowest one)   0.049 eV/atom
ΔH_f (0 K)   0.11 eV/atom

***

[4]
The following is a SCAN calculation of a crystal of MgFePt relaxed with PBEsol, from Alexandria via LeMat-Bulk.

The structure in CIF format:
```
data_MgFePt
_symmetry_space_group_name_H-M 'I m m 2'
_symmetry_Int_Tables_number 44
_symmetry_space_group_name_Hall 'I 2 -2'
_cell_length_a 2.7782
_cell_length_b 3.8086
_cell_length_c 8.1930
_cell_angle_alpha 90.00
_cell_angle_beta 90.00
_cell_angle_gamma 90.00
loop_
_atom_site_label
_atom_site_fract_x
_atom_site_fract_y
_atom_site_fract_z
_atom_site_occupancy
Mg1 0.0000 0.0000 0.0000 1
Fe1 0.0000 0.0000 0.3244 1
Pt1 0.0000 0.0000 0.6702 1
```

Summary:
Calculated total energy   -31.521 eV per atom
ΔH_f (0 K)   -0.42 eV/atom

***

[5]
The following is a SCAN calculation of a crystal of La5Hg3 relaxed with PBEsol, from Alexandria via LeMat-Bulk.

The structure in CIF format:
```
data_La5Hg3
_symmetry_space_group_name_H-M 'I 4/m c m'
_symmetry_Int_Tables_number 140
_symmetry_space_group_name_Hall '-I 4 2c'
_cell_length_a 12.4252
_cell_length_b 12.4252
_cell_length_c 6.0756
_cell_angle_alpha 90.00
_cell_angle_beta 90.00
_cell_angle_gamma 90.00
loop_
_atom_site_label
_atom_site_fract_x
_atom_site_fract_y
_atom_site_fract_z
_atom_site_occupancy
La1 0.0000 0.5000 0.2500 1
La2 0.0875 0.2221 0.0000 1
Hg1 0.0000 0.0000 0.2500 1
Hg2 0.1613 0.3387 0.5000 1
```

Summary:
Calculated total energy   -53.066 eV per atom
Polymorph energy (0 for the lowest one)   0.000 eV/atom
ΔH_f (0 K)   -0.56 eV/atom

***

[6]
The following is a SCAN calculation of a crystal of Zr3BiH relaxed with PBEsol, from Alexandria via LeMat-Bulk.

The structure in CIF format:
```
data_Zr3BiH
_symmetry_space_group_name_H-M 'P m -3 m'
_symmetry_Int_Tables_number 221
_symmetry_space_group_name_Hall '-P 4 2 3'
_cell_length_a 4.4636
_cell_length_b 4.4636
_cell_length_c 4.4636
_cell_angle_alpha 90.00
_cell_angle_beta 90.00
_cell_angle_gamma 90.00
loop_
_atom_site_label
_atom_site_fract_x
_atom_site_fract_y
_atom_site_fract_z
_atom_site_occupancy
Zr1 0.0000 0.0000 0.5000 1
Bi1 0.5000 0.5000 0.5000 1
H1 0.0000 0.0000 0.0000 1
```

Summary:
Calculated total energy   -35.251 eV per atom
Polymorph energy (0 for the lowest one)   0.023 eV/atom

***

[7]
The following is a SCAN calculation of a crystal of Al2HIr relaxed with PBEsol, from Alexandria via LeMat-Bulk.

The structure in CIF format:
```
data_Al2HIr
_symmetry_space_group_name_H-M 'F m -3 m'
_symmetry_Int_Tables_number 225
_symmetry_space_group_name_Hall '-F 4 2 3'
_cell_length_a 5.8601
_cell_length_b 5.8601
_cell_length_c 5.8601
_cell_angle_alpha 90.00
_cell_angle_beta 90.00
_cell_angle_gamma 90.00
loop_
_atom_site_label
_atom_site_fract_x
_atom_site_fract_y
_atom_site_fract_z
_atom_site_occupancy
Al1 0.2500 0.2500 0.2500 1
H1 0.0000 0.0000 0.0000 1
Ir1 0.0000 0.0000 0.5000 1
```

Summary:
Calculated total energy   -22.643 eV per atom

***

[8]
The following is a SCAN calculation of a crystal of Cd2PtAu relaxed with PBEsol, from Alexandria via LeMat-Bulk.

The structure in CIF format:
```
data_Cd2PtAu
_symmetry_space_group_name_H-M 'I 4/m m m'
_symmetry_Int_Tables_number 139
_symmetry_space_group_name_Hall '-I 4 2'
_cell_length_a 4.1676
_cell_length_b 4.1676
_cell_length_c 7.9601
_cell_angle_alpha 90.00
_cell_angle_beta 90.00
_cell_angle_gamma 90.00
loop_
_atom_site_label
_atom_site_fract_x
_atom_site_fract_y
_atom_site_fract_z
_atom_site_occupancy
Cd1 0.0000 0.5000 0.2500 1
Pt1 0.0000 0.0000 0.0000 1
Au1 0.0000 0.0000 0.5000 1
```

Summary:
Calculated total energy   -50.317 eV per atom
ΔH_f (0 K)   -0.27 eV/atom

***

[9]
The following is a SCAN calculation of a crystal of KGe2Pd2 relaxed with PBEsol, from Alexandria via LeMat-Bulk.

The structure in CIF format:
```
data_KGe2Pd2
_symmetry_space_group_name_H-M 'I 4/m m m'
_symmetry_Int_Tables_number 139
_symmetry_space_group_name_Hall '-I 4 2'
_cell_length_a 4.3606
_cell_length_b 4.3606
_cell_length_c 10.4517
_cell_angle_alpha 90.00
_cell_angle_beta 90.00
_cell_angle_gamma 90.00
loop_
_atom_site_label
_atom_site_fract_x
_atom_site_fract_y
_atom_site_fract_z
_atom_site_occupancy
K1 0.0000 0.0000 0.0000 1
Ge1 0.0000 0.0000 0.3663 1
Pd1 0.0000 0.5000 0.2500 1
```

Summary:
Calculated total energy   -22.861 eV per atom
ΔH_f (0 K)   -0.45 eV/atom

***

[10]
The following is a SCAN calculation of a crystal of ScTcAu2 relaxed with PBEsol, from Alexandria via LeMat-Bulk.

The structure in CIF format:
```
data_ScTcAu2
_symmetry_space_group_name_H-M 'I -4 m 2'
_symmetry_Int_Tables_number 119
_symmetry_space_group_name_Hall 'I -4 -2'
_cell_length_a 4.0175
_cell_length_b 4.0175
_cell_length_c 8.2566
_cell_angle_alpha 90.00
_cell_angle_beta 90.00
_cell_angle_gamma 90.00
loop_
_atom_site_label
_atom_site_fract_x
_atom_site_fract_y
_atom_site_fract_z
_atom_site_occupancy
Sc1 0.0000 0.0000 0.0000 1
Tc1 0.0000 0.5000 0.2500 1
Au1 0.0000 0.0000 0.5000 1
Au2 0.0000 0.5000 0.7500 1
```

Summary:
Calculated total energy   -47.206 eV per atom
ΔH_f (0 K)   -0.30 eV/atom

***

[11]
The following is a SCAN calculation of a crystal of YTeOsN2 relaxed with PBEsol, from Alexandria via LeMat-Bulk.

The structure in CIF format:
```
data_YTeOsN2
_symmetry_space_group_name_H-M 'P 4/m m m'
_symmetry_Int_Tables_number 123
_symmetry_space_group_name_Hall '-P 4 2'
_cell_length_a 4.0897
_cell_length_b 4.0897
_cell_length_c 6.1801
_cell_angle_alpha 90.00
_cell_angle_beta 90.00
_cell_angle_gamma 90.00
loop_
_atom_site_label
_atom_site_fract_x
_atom_site_fract_y
_atom_site_fract_z
_atom_site_occupancy
Y1 0.0000 0.0000 0.0000 1
Te1 0.0000 0.0000 0.5000 1
Os1 0.5000 0.5000 0.5000 1
N1 0.0000 0.5000 0.0000 1
```

Summary:
Formation energy from raw total energies   7.92 eV/f.u.
Calculated total energy   -29.528 eV per atom

***

[12]
The following is a SCAN calculation of a crystal of YScAs2 relaxed with PBEsol, from Alexandria via LeMat-Bulk.

The structure in CIF format:
```
data_YScAs2
_symmetry_space_group_name_H-M 'P 4/m m m'
_symmetry_Int_Tables_number 123
_symmetry_space_group_name_Hall '-P 4 2'
_cell_length_a 3.9588
_cell_length_b 3.9588
_cell_length_c 5.5905
_cell_angle_alpha 90.00
_cell_angle_beta 90.00
_cell_angle_gamma 90.00
loop_
_atom_site_label
_atom_site_fract_x
_atom_site_fract_y
_atom_site_fract_z
_atom_site_occupancy
Y1 0.0000 0.0000 0.0000 1
Sc1 0.5000 0.5000 0.5000 1
As1 0.0000 0.0000 0.5000 1
As2 0.5000 0.5000 0.0000 1
```

Summary:
Calculated total energy   -22.223 eV per atom
Polymorph energy (0 for the lowest one)   0.031 eV/atom
ΔH_f (0 K)   -1.61 eV/atom

***

[13]
The following is a SCAN calculation of a crystal of BaSr2Zn relaxed with PBEsol, from Alexandria via LeMat-Bulk.

The structure in CIF format:
```
data_BaSr2Zn
_symmetry_space_group_name_H-M 'P 4 m m'
_symmetry_Int_Tables_number 99
_symmetry_space_group_name_Hall 'P 4 -2'
_cell_length_a 4.0162
_cell_length_b 4.0162
_cell_length_c 10.2417
_cell_angle_alpha 90.00
_cell_angle_beta 90.00
_cell_angle_gamma 90.00
loop_
_atom_site_label
_atom_site_fract_x
_atom_site_fract_y
_atom_site_fract_z
_atom_site_occupancy
Ba1 0.0000 0.0000 0.0000 1
Sr1 0.0000 0.0000 0.3630 1
Sr2 0.5000 0.5000 0.6712 1
Zn1 0.5000 0.5000 0.1924 1
```

Summary:
Calculated total energy   -24.506 eV per atom
ΔH_f (0 K)   -0.10 eV/atom

***

[14]
The following is a SCAN calculation of a crystal of CrHgIN2 relaxed with PBEsol, from Alexandria via LeMat-Bulk.

The structure in CIF format:
```
data_CrHgIN2
_symmetry_space_group_name_H-M 'P 4/m m m'
_symmetry_Int_Tables_number 123
_symmetry_space_group_name_Hall '-P 4 2'
_cell_length_a 3.8742
_cell_length_b 3.8742
_cell_length_c 5.6211
_cell_angle_alpha 90.00
_cell_angle_beta 90.00
_cell_angle_gamma 90.00
loop_
_atom_site_label
_atom_site_fract_x
_atom_site_fract_y
_atom_site_fract_z
_atom_site_occupancy
Cr1 0.0000 0.0000 0.0000 1
Hg1 0.5000 0.5000 0.5000 1
I1 0.0000 0.0000 0.5000 1
N1 0.0000 0.5000 0.0000 1
```

Summary:
Formation energy from raw total energies   3.22 eV/f.u.
Calculated total energy   -27.730 eV per atom
Polymorph energy (0 for the lowest one)   0.000 eV/atom

***

[15]
The following is a SCAN calculation of a crystal of BaLaOs2 relaxed with PBEsol, from Alexandria via LeMat-Bulk.

The structure in CIF format:
```
data_BaLaOs2
_symmetry_space_group_name_H-M 'P m m m'
_symmetry_Int_Tables_number 47
_symmetry_space_group_name_Hall '-P 2 2'
_cell_length_a 3.2799
_cell_length_b 4.5231
_cell_length_c 6.8126
_cell_angle_alpha 90.00
_cell_angle_beta 90.00
_cell_angle_gamma 90.00
loop_
_atom_site_label
_atom_site_fract_x
_atom_site_fract_y
_atom_site_fract_z
_atom_site_occupancy
Ba1 0.0000 0.0000 0.0000 1
La1 0.0000 0.0000 0.5000 1
Os1 0.5000 0.5000 0.3258 1
```

Summary:
Calculated total energy   -55.924 eV per atom
Polymorph energy (0 for the lowest one)   0.211 eV/atom
ΔH_f (0 K)   0.68 eV/atom

***

[16]
The following is a SCAN calculation of a crystal of Li2YIn2 relaxed with PBEsol, from Alexandria via LeMat-Bulk.

The structure in CIF format:
```
data_Li2YIn2
_symmetry_space_group_name_H-M 'I 4/m m m'
_symmetry_Int_Tables_number 139
_symmetry_space_group_name_Hall '-I 4 2'
_cell_length_a 4.0476
_cell_length_b 4.0476
_cell_length_c 13.6006
_cell_angle_alpha 90.00
_cell_angle_beta 90.00
_cell_angle_gamma 90.00
loop_
_atom_site_label
_atom_site_fract_x
_atom_site_fract_y
_atom_site_fract_z
_atom_site_occupancy
Li1 0.0000 0.5000 0.2500 1
Y1 0.0000 0.0000 0.0000 1
In1 0.0000 0.0000 0.3922 1
```

Summary:
Calculated total energy   -20.310 eV per atom
Polymorph energy (0 for the lowest one)   0.010 eV/atom
ΔH_f (0 K)   -0.43 eV/atom

***

[17]
The following is a SCAN calculation of a crystal of ScAlCO relaxed with PBEsol, from Alexandria via LeMat-Bulk.

The structure in CIF format:
```
data_ScAlCO
_symmetry_space_group_name_H-M 'R -3 m'
_symmetry_Int_Tables_number 166
_symmetry_space_group_name_Hall '-R 3 2"'
_cell_length_a 3.2634
_cell_length_b 3.2634
_cell_length_c 29.9906
_cell_angle_alpha 90.00
_cell_angle_beta 90.00
_cell_angle_gamma 120.00
loop_
_atom_site_label
_atom_site_fract_x
_atom_site_fract_y
_atom_site_fract_z
_atom_site_occupancy
Sc1 0.0000 0.0000 0.0000 1
Sc2 0.0000 0.0000 0.5000 1
Al1 0.0000 0.0000 0.2387 1
C1 0.0000 0.0000 0.1187 1
O1 0.0000 0.0000 0.3002 1
```

Summary:
Formation energy from raw total energies   -7.74 eV/f.u.
Calculated total energy   -11.515 eV per atom
Polymorph energy (0 for the lowest one)   0.015 eV/atom

***

[18]
The following is a SCAN calculation of a crystal of AlBr2Cl relaxed with PBEsol, from Alexandria via LeMat-Bulk.

The structure in CIF format:
```
data_AlBr2Cl
_symmetry_space_group_name_H-M 'F m -3 m'
_symmetry_Int_Tables_number 225
_symmetry_space_group_name_Hall '-F 4 2 3'
_cell_length_a 6.8550
_cell_length_b 6.8550
_cell_length_c 6.8550
_cell_angle_alpha 90.00
_cell_angle_beta 90.00
_cell_angle_gamma 90.00
loop_
_atom_site_label
_atom_site_fract_x
_atom_site_fract_y
_atom_site_fract_z
_atom_site_occupancy
Al1 0.0000 0.0000 0.0000 1
Br1 0.2500 0.2500 0.2500 1
Cl1 0.0000 0.0000 0.5000 1
```

Summary:
Formation energy from raw total energies   -0.07 eV/f.u.
Calculated total energy   -13.680 eV per atom
Polymorph energy (0 for the lowest one)   0.892 eV/atom

***

[19]
The following is a SCAN calculation of a crystal of BeSiRu2 relaxed with PBEsol, from Alexandria via LeMat-Bulk.

The structure in CIF format:
```
data_BeSiRu2
_symmetry_space_group_name_H-M 'C 1 2/m 1'
_symmetry_Int_Tables_number 12
_symmetry_space_group_name_Hall '-C 2y'
_cell_length_a 5.3851
_cell_length_b 7.4675
_cell_length_c 2.6979
_cell_angle_alpha 90.00
_cell_angle_beta 116.13
_cell_angle_gamma 90.00
loop_
_atom_site_label
_atom_site_fract_x
_atom_site_fract_y
_atom_site_fract_z
_atom_site_occupancy
Be1 0.0000 0.0000 0.0000 1
Si1 0.0000 0.5000 0.0000 1
Ru1 0.2500 0.2500 0.5000 1
```

Summary:
Formation energy from raw total energies   -0.92 eV/f.u.
Calculated total energy   -21.235 eV per atom
Polymorph energy (0 for the lowest one)   0.443 eV/atom

***

[20]
The following is a SCAN calculation of a crystal of ZnTeAuN2 relaxed with PBEsol, from Alexandria via LeMat-Bulk.

The structure in CIF format:
```
data_ZnTeAuN2
_symmetry_space_group_name_H-M 'P 4/m m m'
_symmetry_Int_Tables_number 123
_symmetry_space_group_name_Hall '-P 4 2'
_cell_length_a 3.9679
_cell_length_b 3.9679
_cell_length_c 6.0696
_cell_angle_alpha 90.00
_cell_angle_beta 90.00
_cell_angle_gamma 90.00
loop_
_atom_site_label
_atom_site_fract_x
_atom_site_fract_y
_atom_site_fract_z
_atom_site_occupancy
Zn1 0.0000 0.0000 0.0000 1
Te1 0.5000 0.5000 0.0000 1
Au1 0.5000 0.5000 0.5000 1
N1 0.0000 0.5000 0.5000 1
```

Summary:
Formation energy from raw total energies   7.11 eV/f.u.
Calculated total energy   -26.280 eV per atom